Entry from Alexandria via LeMat-Bulk: TlBi3O after structural relaxation (PBE).

Unit cell a=5.821 b=5.821 c=5.821 alpha=90.00 beta=90.00 gamma=90.00
Atoms (fractional coordinates):
Tl 0.000 0.000 0.000
Bi 0.000 0.500 0.000
Bi 0.000 0.000 0.500
Bi 0.500 0.000 0.000
O 0.500 0.500 0.500

Space-group type = No. 221
Magnetization = 0.000 μB per cell
ΔE to the lowest computed polymorph = 134.2 kJ/mol of atoms

=====

Entry from Alexandria via LeMat-Bulk: TlBiO3 after structural relaxation (PBE).

Unit cell a=5.885 b=7.592 c=7.592 alpha=79.82 beta=85.88 gamma=85.88
Atoms (fractional coordinates):
Tl 0.250 0.721 0.279
Tl 0.250 0.085 0.915
Tl 0.750 0.279 0.721
Tl 0.750 0.915 0.085
Bi 0.789 0.383 0.180
Bi 0.289 0.180 0.383
Bi 0.711 0.820 0.617
Bi 0.211 0.617 0.820
O 0.566 0.198 0.008
O 0.066 0.008 0.198
O 0.934 0.992 0.802
O 0.434 0.802 0.992
O 0.942 0.297 0.449
O 0.442 0.449 0.297
O 0.558 0.551 0.703
O 0.058 0.703 0.551
O 0.952 0.641 0.122
O 0.452 0.122 0.641
O 0.548 0.878 0.359
O 0.048 0.359 0.878

Space-group type = No. 15
Final energy = -25.47 eV/f.u.
Magnetization = 0.000 μB per cell

=====

Entry from Alexandria via LeMat-Bulk: TlBi6O12 after structural relaxation (PBE).

Unit cell a=6.793 b=6.793 c=6.793 alpha=99.47 beta=99.47 gamma=99.47
Atoms (fractional coordinates):
Tl 0.000 0.000 0.000
Bi 0.704 0.865 0.403
Bi 0.597 0.296 0.135
Bi 0.135 0.597 0.296
Bi 0.296 0.135 0.597
Bi 0.403 0.704 0.865
Bi 0.865 0.403 0.704
O 0.827 0.575 0.436
O 0.436 0.827 0.575
O 0.575 0.436 0.827
O 0.173 0.425 0.564
O 0.564 0.173 0.425
O 0.425 0.564 0.173
O 0.072 0.935 0.322
O 0.065 0.678 0.928
O 0.678 0.928 0.065
O 0.928 0.065 0.678
O 0.935 0.322 0.072
O 0.322 0.072 0.935

Space-group type = No. 148
Final energy = -104.05 eV/f.u.
Magnetization = 0.018 μB per cell

=====

Entry from Alexandria via LeMat-Bulk: TlBi3O6 after structural relaxation (PBE).

Unit cell a=5.894 b=6.410 c=8.465 alpha=90.00 beta=89.56 gamma=90.00
Atoms (fractional coordinates):
Tl 0.500 0.500 0.500
Tl 0.000 0.000 0.000
Bi 0.510 0.962 0.763
Bi 0.500 0.500 0.000
Bi 0.490 0.038 0.237
Bi 0.010 0.538 0.263
Bi 0.000 0.000 0.500
Bi 0.990 0.462 0.737
O 0.655 0.166 0.951
O 0.666 0.188 0.585
O 0.657 0.428 0.255
O 0.343 0.572 0.745
O 0.334 0.812 0.415
O 0.345 0.834 0.049
O 0.155 0.334 0.451
O 0.166 0.312 0.085
O 0.157 0.072 0.755
O 0.843 0.928 0.245
O 0.834 0.688 0.915
O 0.845 0.666 0.549

Space-group type = No. 14
Final energy = -54.12 eV/f.u.
Magnetization = 0.000 μB per cell

=====

Entry from Alexandria via LeMat-Bulk: TlBiO3 after structural relaxation (PBE).

Unit cell a=4.271 b=4.271 c=4.271 alpha=90.00 beta=90.00 gamma=90.00
Atoms (fractional coordinates):
Tl 0.500 0.500 0.500
Bi 0.000 0.000 0.000
O 0.000 0.500 0.000
O 0.000 0.000 0.500
O 0.500 0.000 0.000

Space-group type = No. 221
Final energy = -24.52 eV/f.u.
Magnetization = 0.000 μB per cell

=====

Entry from Alexandria via LeMat-Bulk: Tl6BiO12 after structural relaxation (PBE).

Unit cell a=6.622 b=6.622 c=6.622 alpha=99.02 beta=99.02 gamma=99.02
Each line ends with the local moment (μB).
Atoms (fractional coordinates):
Tl 0.137 0.309 0.607  0.00
Tl 0.691 0.393 0.863  0.00
Tl 0.393 0.863 0.691  0.00
Tl 0.863 0.691 0.393  0.00
Tl 0.309 0.607 0.137  0.00
Tl 0.607 0.137 0.309  0.00
Bi 0.000 0.000 0.000  -0.01
O 0.422 0.177 0.593  0.11
O 0.177 0.593 0.422  0.11
O 0.593 0.422 0.177  0.11
O 0.578 0.823 0.407  0.11
O 0.823 0.407 0.578  0.11
O 0.407 0.578 0.823  0.11
O 0.049 0.919 0.687  0.06
O 0.313 0.951 0.081  0.06
O 0.081 0.313 0.951  0.06
O 0.951 0.081 0.313  0.06
O 0.687 0.049 0.919  0.06
O 0.919 0.687 0.049  0.06

Space-group type = No. 148
Final energy = -89.38 eV/f.u.
Magnetization = 1.177 μB per cell

=====

Entry from Alexandria via LeMat-Bulk: Tl4Bi6O19 after structural relaxation (PBE).

Unit cell a=8.484 b=8.484 c=8.484 alpha=109.47 beta=109.47 gamma=109.47
Atoms (fractional coordinates):
Tl 0.000 0.000 0.717
Tl 0.000 0.717 0.000
Tl 0.283 0.283 0.283
Tl 0.717 0.000 0.000
Bi 0.329 0.500 0.829
Bi 0.671 0.500 0.171
Bi 0.171 0.671 0.500
Bi 0.829 0.329 0.500
Bi 0.500 0.829 0.329
Bi 0.500 0.171 0.671
O 0.641 0.000 0.641
O 0.359 0.000 0.359
O 0.359 0.359 0.000
O 0.641 0.641 0.000
O 0.000 0.641 0.641
O 0.000 0.359 0.359
O 0.000 0.000 0.000
O 0.349 0.318 0.592
O 0.651 0.243 0.969
O 0.726 0.757 0.408
O 0.969 0.651 0.243
O 0.274 0.682 0.031
O 0.592 0.349 0.318
O 0.031 0.274 0.682
O 0.408 0.726 0.757
O 0.682 0.031 0.274
O 0.243 0.969 0.651
O 0.318 0.592 0.349
O 0.757 0.408 0.726

Space-group type = No. 197
Final energy = -146.90 eV/f.u.
Magnetization = 0.000 μB per cell

=====

Entry from Alexandria via LeMat-Bulk: TlBi2O5 after structural relaxation (PBE).

Unit cell a=3.797 b=8.092 c=16.648 alpha=90.00 beta=90.00 gamma=90.00
Atoms (fractional coordinates):
Tl 0.750 0.375 0.074
Tl 0.250 0.125 0.574
Tl 0.750 0.875 0.426
Tl 0.250 0.625 0.926
Bi 0.750 0.374 0.425
Bi 0.750 0.377 0.750
Bi 0.250 0.123 0.250
Bi 0.250 0.126 0.925
Bi 0.750 0.874 0.075
Bi 0.750 0.877 0.750
Bi 0.250 0.623 0.250
Bi 0.250 0.626 0.575
O 0.250 0.373 0.302
O 0.250 0.364 0.007
O 0.250 0.428 0.830
O 0.250 0.384 0.497
O 0.750 0.174 0.172
O 0.250 0.326 0.672
O 0.750 0.116 0.997
O 0.750 0.072 0.330
O 0.750 0.136 0.507
O 0.750 0.127 0.802
O 0.250 0.873 0.198
O 0.250 0.864 0.493
O 0.250 0.928 0.670
O 0.250 0.884 0.003
O 0.750 0.674 0.328
O 0.250 0.826 0.828
O 0.750 0.616 0.503
O 0.750 0.572 0.170
O 0.750 0.636 0.993
O 0.750 0.627 0.698

Space-group type = No. 62
Magnetization = 0.000 μB per cell
ΔE to the lowest computed polymorph = 0.9 kJ/mol of atoms

=====

Entry from Alexandria via LeMat-Bulk: Tl2Bi2O7 after structural relaxation (PBE).

Unit cell a=5.680 b=5.594 c=5.594 alpha=94.50 beta=87.75 gamma=87.75
Atoms (fractional coordinates):
Tl 0.053 0.752 0.295
Tl 0.053 0.295 0.752
Bi 0.575 0.264 0.264
Bi 0.486 0.765 0.765
O 0.711 0.950 0.394
O 0.711 0.394 0.950
O 0.337 0.489 0.489
O 0.323 0.067 0.067
O 0.835 0.467 0.467
O 0.209 0.965 0.591
O 0.209 0.591 0.965

Space-group type = No. 8
Magnetization = 0.000 μB per cell
ΔE to the lowest computed polymorph = 0.0 kJ/mol of atoms

=====

Entry from Alexandria via LeMat-Bulk: Tl3BiO6 after structural relaxation (PBE).

Unit cell a=6.876 b=6.876 c=6.876 alpha=90.21 beta=90.21 gamma=90.21
Atoms (fractional coordinates):
Tl 0.448 0.941 0.753
Tl 0.941 0.753 0.448
Tl 0.247 0.552 0.059
Tl 0.753 0.448 0.941
Tl 0.059 0.247 0.552
Tl 0.552 0.059 0.247
Bi 0.000 0.000 0.000
Bi 0.500 0.500 0.500
O 0.319 0.904 0.071
O 0.096 0.929 0.681
O 0.606 0.819 0.467
O 0.929 0.681 0.096
O 0.467 0.606 0.819
O 0.181 0.533 0.394
O 0.819 0.467 0.606
O 0.533 0.394 0.181
O 0.071 0.319 0.904
O 0.394 0.181 0.533
O 0.904 0.071 0.319
O 0.681 0.096 0.929

Space-group type = No. 148
Magnetization = 0.000 μB per cell
ΔE to the lowest computed polymorph = 0.0 kJ/mol of atoms

=====

Entry from Alexandria via LeMat-Bulk: Tl3BiO6 after structural relaxation (PBE).

Unit cell a=3.656 b=6.867 c=6.867 alpha=110.87 beta=90.00 gamma=90.00
Atoms (fractional coordinates):
Tl 0.500 0.500 0.000
Tl 0.000 0.000 0.000
Tl 0.500 0.000 0.500
Bi 0.000 0.500 0.500
O 0.000 0.089 0.337
O 0.000 0.911 0.663
O 0.000 0.337 0.089
O 0.000 0.663 0.911
O 0.500 0.645 0.355
O 0.500 0.355 0.645

Space-group type = No. 65
Magnetization = 0.000 μB per cell
ΔE to the lowest computed polymorph = 5.6 kJ/mol of atoms

=====

Entry from Alexandria via LeMat-Bulk: Tl2Bi2O7 after structural relaxation (PBE).

Unit cell a=5.534 b=5.568 c=5.534 alpha=89.99 beta=88.81 gamma=89.99
Each line ends with the local moment (μB).
Atoms (fractional coordinates):
Tl 0.731 0.000 0.269  0.00
Tl 0.269 0.000 0.731  0.00
Bi 0.728 0.500 0.728  0.01
Bi 0.272 0.500 0.272  0.01
O 0.000 0.264 0.500  0.03
O 0.500 0.736 0.000  0.03
O 0.000 0.736 0.500  0.03
O 0.500 0.264 0.000  0.03
O 0.000 0.000 0.000  0.13
O 0.500 0.737 0.500  0.00
O 0.500 0.263 0.500  0.00

Space-group type = No. 65
Magnetization = 0.314 μB per cell
ΔE to the lowest computed polymorph = 12.5 kJ/mol of atoms

=====

Entry from Alexandria via LeMat-Bulk: TlBi2O2 after structural relaxation (PBE).

Unit cell a=4.890 b=4.890 c=6.408 alpha=67.57 beta=67.57 gamma=90.00
Atoms (fractional coordinates):
Tl 0.000 0.000 0.000
Bi 0.750 0.250 0.500
Bi 0.250 0.750 0.500
O 0.261 0.261 0.478
O 0.739 0.739 0.522

Space-group type = No. 139
Magnetization = 0.000 μB per cell
ΔE to the lowest computed polymorph = 0.0 kJ/mol of atoms

=====

Entry from Alexandria via LeMat-Bulk: TmTlBi2O6 after structural relaxation (PBE).

Unit cell a=6.001 b=6.001 c=6.142 alpha=60.76 beta=60.76 gamma=59.99
Atoms (fractional coordinates):
Tm 0.809 0.809 0.572
Tl 0.304 0.304 0.087
Bi 0.520 0.520 0.440
Bi 0.024 0.024 0.927
O 0.628 0.173 0.251
O 0.173 0.948 0.251
O 0.948 0.628 0.251
O 0.456 0.682 0.745
O 0.682 0.117 0.745
O 0.117 0.456 0.745

Space-group type = No. 146
Final energy = -61.03 eV/f.u.
Magnetization = 0.000 μB per cell

=====

Entry from Alexandria via LeMat-Bulk: Tm2Tl2BiO6 after structural relaxation (PBE).

Unit cell a=5.972 b=5.972 c=6.879 alpha=98.81 beta=98.81 gamma=119.82
Atoms (fractional coordinates):
Tm 0.335 0.665 0.500
Tm 0.665 0.335 0.500
Tl 0.829 0.171 0.000
Tl 0.171 0.829 0.000
Bi 0.000 0.000 0.500
O 0.725 0.725 0.668
O 0.056 0.398 0.670
O 0.275 0.275 0.332
O 0.398 0.056 0.670
O 0.944 0.602 0.330
O 0.602 0.944 0.330

Space-group type = No. 12
Final energy = -69.35 eV/f.u.
Magnetization = 0.000 μB per cell

=====

Entry from Alexandria via LeMat-Bulk: UTlBiO6 after structural relaxation (PBE).

Unit cell a=5.706 b=5.706 c=10.086 alpha=90.00 beta=90.00 gamma=120.00
Atoms (fractional coordinates):
U 0.667 0.333 0.250
U 0.333 0.667 0.750
Tl 0.333 0.667 0.250
Tl 0.667 0.333 0.750
Bi 0.000 0.000 0.000
Bi 0.000 0.000 0.500
O 0.669 0.642 0.134
O 0.973 0.331 0.134
O 0.331 0.973 0.634
O 0.027 0.669 0.866
O 0.358 0.331 0.366
O 0.973 0.642 0.366
O 0.642 0.973 0.866
O 0.669 0.027 0.366
O 0.027 0.358 0.634
O 0.358 0.027 0.134
O 0.642 0.669 0.634
O 0.331 0.358 0.866

Space-group type = No. 163
Final energy = -63.83 eV/f.u.
Magnetization = 0.000 μB per cell